# 1
TlCu2Pd | PBE-GGA | relaxed

- Volume: 62 Å³/cell
- Symmetry: Fm-3m
- E above lowest polymorph: 0.12 eV/f.u.
- M_tot: 0.00 μB/cell
- DFT total energy: -3.871 eV per atom
- DFT formation energy: 67 meV/atom

Unit cell a=4.453 b=4.453 c=4.453 alpha=60.00 beta=60.00 gamma=60.00
Sites, in units of the cell vectors:
Tl1 0.000 0.000 0.000
Cu1 0.250 0.250 0.250
Cu2 0.750 0.750 0.750
Pd1 0.500 0.500 0.500

# 2
TlCu2Pd7 | PBE-GGA | relaxed

- Volume: 196 Å³/cell
- Symmetry: Cmmm
- M_tot: 0.00 μB/cell
- DFT total energy: -4.323 eV per atom
- DFT formation energy: 368 meV/atom

Unit cell a=7.140 b=7.140 c=4.409 alpha=90.00 beta=90.00 gamma=119.22
Sites, in units of the cell vectors:
Tl1 0.000 0.000 0.000
Cu1 0.301 0.699 0.500
Cu2 0.699 0.301 0.500
Pd1 0.069 0.303 0.500
Pd2 0.218 0.782 0.000
Pd3 0.303 0.069 0.500
Pd4 0.500 0.500 0.500
Pd5 0.697 0.931 0.500
Pd6 0.782 0.218 0.000
Pd7 0.931 0.697 0.500

# 3
TlCu5Pd6 | PBE-GGA | relaxed

- Volume: 175 Å³/cell
- Symmetry: P2/m
- M_tot: 0.00 μB/cell
- DFT total energy: -4.639 eV per atom
- DFT formation energy: -138 meV/atom

Unit cell a=4.329 b=6.231 c=6.852 alpha=90.00 beta=108.33 gamma=90.00
Sites, in units of the cell vectors:
Tl1 0.000 0.000 0.000
Cu1 0.000 0.500 0.000
Cu2 0.330 0.000 0.660
Cu3 0.335 0.500 0.669
Cu4 0.665 0.500 0.331
Cu5 0.670 0.000 0.340
Pd1 0.172 0.259 0.343
Pd2 0.172 0.741 0.343
Pd3 0.500 0.266 0.000
Pd4 0.500 0.734 0.000
Pd5 0.828 0.259 0.657
Pd6 0.828 0.741 0.657